(a)
18
Lattice="-5.560 -1.823 -1.348 4.601 -7.592 4.660 -4.180 7.406 7.224" Properties=species:S:1:pos:R:3 comment="LaDy3Er5 PBE optimized geometry" density_g_cm3=8.24 pbc="T T T"
Dy -3.005 -1.259 6.805
Dy 2.116 -3.968 3.928
Dy 0.000 0.000 0.000
Dy -7.255 1.960 6.608
Dy -2.090 3.703 3.612
Dy -2.134 -0.750 3.731
Er -5.710 -0.317 4.186
Er 0.571 -1.692 6.349
Er -1.396 -3.902 4.556
Er -0.951 -3.145 1.221
Er -3.743 1.893 5.980
Er -4.539 0.706 0.959
Er -0.793 0.684 8.821
Er -5.201 4.877 4.917
Er -4.346 -2.693 1.714
Er -4.188 1.137 9.314
La -1.829 1.595 1.616
La -7.911 3.989 4.260

***

(b)
18
Lattice="9.051 1.855 1.382 4.262 8.198 1.382 5.875 4.436 10.568" Properties=species:S:1:pos:R:3 comment="LaDy3Er5 PBE optimized geometry" density_g_cm3=7.84 pbc="T T T"
Er 7.511 3.895 1.382
Er 10.716 8.092 7.535
Er 8.472 6.397 5.797
Er 7.384 7.627 9.039
Er 10.392 7.847 10.843
Er 9.832 9.475 4.293
Er 9.357 5.014 9.039
Er 11.804 6.862 4.293
Er 5.803 6.158 1.382
Er 8.796 6.642 2.489
La 17.042 12.868 11.604
La 2.146 1.621 1.728
Dy 5.900 4.455 4.184
Dy 12.996 9.813 5.881
Dy 13.288 10.034 9.148
Dy 2.937 2.218 5.284
Dy 6.192 4.676 7.451
Dy 0.000 0.000 0.000

***

Relative calculated energies, zero for the most stable structure, unit meV/atom: (a) 0; (b) 84.